Density functional theory data (SCAN) for a crystal of ScOs2Se relaxed with PBEsol.

The structure in CIF format:
```
data_ScOs2Se
_cell_length_a 2.8988
_cell_length_b 2.8988
_cell_length_c 26.0031
_cell_angle_alpha 90.00
_cell_angle_beta 90.00
_cell_angle_gamma 120.00
_space_group_name_H-M_alt 'R 3 m'
_space_group_IT_number 160
_space_group_name_Hall 'R 3 -2"'
loop_
_atom_site_label
_atom_site_type_symbol
_atom_site_fract_x
_atom_site_fract_y
_atom_site_fract_z
Sc1 Sc 0.0000 0.0000 0.0000
Os1 Os 0.0000 0.0000 0.2445
Os2 Os 0.0000 0.0000 0.5004
Se1 Se 0.0000 0.0000 0.7521
```

Summary:
Its density of states at the Fermi level is 11.14 states/eV per cell. The uncorrected formation energy is 0.301 eV/atom. Its spin magnetization is 0.00 μB per formula unit.